1.
Computed, not measured: crystalline ScCd8Ag6 at its relaxed geometry at the PBE level of DFT.

Lattice parameters (Å, degrees): 8.1376 8.1376 5.6985 90.00 90.00 120.00
Space group P-3 (No. 147)
Inequivalent atoms, fractional coordinates:
Sc  0.0000  0.0000  0.0000 (multiplicity 1)
Cd  0.0037  0.6780  0.6295 (multiplicity 6)
Cd  0.3333  0.6667  0.1232 (multiplicity 2)
Ag  0.0226  0.3519  0.8658 (multiplicity 6)

Total DFT energy (no corrections): -2.079 eV per atom
Relative energy among the computed polymorphs: 0 meV/atom
Formation energy: -0.03 eV per atom
Calculated density: 8.09 g cm⁻³
Crystal system: trigonal

---

2.
Computed, not measured: crystalline UCuGeO at its relaxed geometry at the PBE level of DFT.

Lattice parameters (Å, degrees): 3.891 3.891 8.157 90.00 90.00 90.00
Space group P4/nmm (No. 129, origin choice 2)
Inequivalent atoms, fractional coordinates:
U  0.250  0.250  0.154 (multiplicity 2)
Cu  0.250  0.750  0.500 (multiplicity 2)
Ge  0.250  0.250  0.680 (multiplicity 2)
O  0.250  0.750  0.000 (multiplicity 2)

Total DFT energy (no corrections): -7.579 eV per atom
Calculated density: 10.49 g cm⁻³
Crystal system: tetragonal
Formation energy without anion corrections: -1.34 eV/atom

---

3.
Computed, not measured: crystalline CaTlSi2 at its relaxed geometry at the PBE level of DFT.

Lattice parameters (Å, degrees): 7.198 7.198 7.198 90.00 90.00 90.00
Space group Fm-3m (No. 225)
Inequivalent atoms, fractional coordinates:
Ca  0.000  0.000  0.000 (multiplicity 4)
Tl  0.000  0.000  0.500 (multiplicity 4)
Si  0.250  0.250  0.250 (multiplicity 8)

Total DFT energy (no corrections): -3.518 eV per atom
Relative energy among the computed polymorphs: 389 meV/atom
Calculated density: 5.35 g cm⁻³
Crystal system: cubic
Formation energy without anion corrections: 0.29 eV/atom

---

4.
Computed, not measured: crystalline Na2CuNi2 at its relaxed geometry at the PBE level of DFT.

Lattice parameters (Å, degrees): 6.034 6.034 4.687 90.00 90.00 90.00
Space group P4/mbm (No. 127)
Inequivalent atoms, fractional coordinates:
Na  0.180  0.320  0.000 (multiplicity 4)
Cu  0.000  0.000  0.500 (multiplicity 2)
Ni  0.132  0.632  0.500 (multiplicity 4)

Total DFT energy (no corrections): -3.274 eV per atom
Formation energy: 0.38 eV per atom
Calculated density: 4.42 g cm⁻³
Crystal system: tetragonal

---

5.
Computed, not measured: crystalline AcDy6Y2Tm at its relaxed geometry at the PBE level of DFT.

Lattice parameters (Å, degrees): 9.329 15.162 9.440 90.00 94.04 90.00
Space group C2/c (No. 15)
Inequivalent atoms, fractional coordinates:
Ac  0.000  0.035  0.250 (multiplicity 4)
Dy  0.058  0.186  0.941 (multiplicity 8)
Dy  0.098  0.385  0.114 (multiplicity 8)
Dy  0.221  0.228  0.318 (multiplicity 8)
Y  0.239  0.446  0.448 (multiplicity 8)
Tm  0.000  0.413  0.750 (multiplicity 4)

Total DFT energy (no corrections): -4.779 eV per atom
Formation energy: 0.13 eV per atom
Calculated density: 7.72 g cm⁻³
Crystal system: monoclinic

---

6.
Computed, not measured: crystalline HfBe3Pd at its relaxed geometry at the PBE level of DFT.

Lattice parameters (Å, degrees): 4.130 4.130 4.130 90.00 90.00 90.00
Space group Pm-3m (No. 221)
Inequivalent atoms, fractional coordinates:
Hf  0.000  0.000  0.000 (multiplicity 1)
Be  0.000  0.500  0.500 (multiplicity 3)
Pd  0.500  0.500  0.500 (multiplicity 1)

Total DFT energy (no corrections): -5.122 eV per atom
Relative energy among the computed polymorphs: 0 meV/atom
Formation energy: 0.14 eV per atom
Calculated density: 7.35 g cm⁻³
Crystal system: cubic